Entry 1:
Density functional theory data (PBE) for a geometry-optimized SnICl3 structure.

Cell lengths 5.3713, 5.3713, 5.3713 Å; angles 90.00, 90.00, 90.00 degrees
With the nearest neighbours (Å) after each atom.
Space group Pm-3m (No. 221)
Inequivalent atoms, fractional coordinates:
1 Sn 0.0000 0.0000 0.0000 (multiplicity 1)  6 Cl 2.69
2 I 0.5000 0.5000 0.5000 (multiplicity 1)  12 Cl 3.80
3 Cl 0.0000 0.0000 0.5000 (multiplicity 3)  2 Sn 2.69

## Properties
Energy above the most stable polymorph in this dataset in meV per atom: 395.8
Calculated volume in Å³ per cell: 155.0

=====

Entry 2:
Density functional theory data (PBE) for a geometry-optimized AcMgAlPb structure.

Cell lengths 7.7097, 7.7097, 7.7097 Å; angles 90.00, 90.00, 90.00 degrees
With the nearest neighbours (Å) after each atom.
Space group F-43m (No. 216)
Inequivalent atoms, fractional coordinates:
1 Ac 0.0000 0.0000 0.0000 (multiplicity 4)  4 Al 3.34, 4 Pb 3.34
2 Mg 0.0000 0.0000 0.5000 (multiplicity 4)  4 Pb 3.34, 4 Al 3.34
3 Al 0.2500 0.2500 0.7500 (multiplicity 4)  4 Mg 3.34, 4 Ac 3.34
4 Pb 0.2500 0.2500 0.2500 (multiplicity 4)  4 Ac 3.34, 4 Mg 3.34

## Properties
Calculated volume in Å³ per cell: 458.3
E in eV per atom: -3.436

=====

Entry 3:
Density functional theory data (PBE) for a geometry-optimized DyHfRh structure.

Cell lengths 3.3806, 3.3806, 11.3729 Å; angles 90.00, 90.00, 90.00 degrees
With the nearest neighbours (Å) after each atom.
Space group I4mm (No. 107)
Inequivalent atoms, fractional coordinates:
1 Dy 0.0000 0.0000 0.0000 (multiplicity 2)  4 Rh 3.09, 5 Hf 3.28-3.39, 4 Dy 3.38
2 Hf 0.0000 0.0000 0.2886 (multiplicity 2)  4 Rh 2.74
3 Rh 0.0000 0.0000 0.6715 (multiplicity 2)  4 Hf 2.74

## Properties
Calculated volume in Å³ per cell: 130.0
E in eV per atom: -7.790